Entry from the Alexandria database: a relaxed Hf3TePb crystal (PBE-GGA).

POSCAR file:
```
Hf3TePb
1.0
5.248 0.000 0.000
0.000 5.248 0.000
0.000 0.000 5.248
Hf Te Pb
3 1 1
Direct
0.000 0.000 0.500
0.000 0.500 0.000
0.500 0.000 0.000
0.000 0.000 0.000
0.500 0.500 0.500
```

## Properties
Offset from the most stable computed form = 0.974 eV/atom
Total magnetic moment = 0.000 μB/f.u.
SG = Pm-3m
Raw formation energy = 820 meV per atom